# Cd2MoW

A geometry-optimized Cd2MoW structure (PBE, Alexandria via LeMat-Bulk).

Results
SG = Pmm2
electronic total energy = -5.879 eV/atom
formation energy from the elements = 524 meV/atom

Cell: 2.755 4.353 6.053 Å, 90.00 90.00 90.00°
Fractional positions:
1 W 0.500 0.500 0.725
2 Cd 0.000 0.000 0.002
3 Mo 0.000 0.000 0.525
4 Cd 0.500 0.500 0.248